SrWCl2: optimized geometry, GGA-PBE.

Calculated values
Uncorrected formation energy ... -3.4 kcal/mol of atoms
Crystal system ... monoclinic
DFT total energy ... -4.729 eV per atom
Fermi-level density of states ... 0.46 states/eV per atom
Offset from the most stable computed form ... 75.9 meV per atom
SG ... No. 12

a b c (Å): 5.709 5.709 5.731
angles (deg): 90.11 90.11 39.59
Fractional positions:
Sr 0.000 0.000 0.000
W 0.500 0.500 0.500
Cl 0.329 0.329 0.775
Cl 0.671 0.671 0.225